# 1
K3InI6O18 (meta-GGA SCAN, PBEsol geometry); formation energy without anion corrections = -888.8 meV per atom; space group = No. 43
1.0
0.000 19.767 5.561
4.043 0.000 5.561
4.043 19.767 0.000
K In I O
6 2 12 36
Direct
0.000 0.000 0.000 K
0.044 0.950 0.152 K
0.098 0.395 0.206 K
0.250 0.250 0.250 K
0.395 0.098 0.300 K
0.950 0.044 0.855 K
0.501 0.501 0.499 In
0.751 0.751 0.749 In
0.006 0.489 0.091 I
0.159 0.836 0.244 I
0.343 0.665 0.253 I
0.489 0.006 0.414 I
0.492 0.515 0.321 I
0.511 0.997 0.585 I
0.515 0.492 0.672 I
0.578 0.929 0.735 I
0.665 0.343 0.739 I
0.836 0.159 0.761 I
0.929 0.578 0.758 I
0.997 0.511 0.907 I
0.040 0.111 0.368 O
0.058 0.715 0.416 O
0.111 0.040 0.482 O
0.116 0.231 0.790 O
0.116 0.607 0.721 O
0.169 0.557 0.807 O
0.202 0.566 0.496 O
0.231 0.116 0.862 O
0.248 0.524 0.952 O
0.298 0.974 0.002 O
0.388 0.460 0.019 O
0.392 0.893 0.442 O
0.429 0.577 0.666 O
0.439 0.834 0.535 O
0.443 0.783 0.081 O
0.460 0.388 0.134 O
0.515 0.754 0.684 O
0.524 0.248 0.276 O
0.529 0.694 0.134 O
0.557 0.169 0.467 O
0.566 0.202 0.735 O
0.577 0.429 0.329 O
0.584 0.921 0.821 O
0.607 0.116 0.556 O
0.694 0.529 0.643 O
0.715 0.058 0.811 O
0.754 0.515 0.048 O
0.768 0.882 0.139 O
0.783 0.443 0.693 O
0.808 0.976 0.858 O
0.834 0.439 0.192 O
0.882 0.768 0.210 O
0.893 0.392 0.274 O
0.921 0.584 0.673 O
0.974 0.298 0.726 O
0.976 0.808 0.357 O



# 2
LaTaMo2 (meta-GGA SCAN, PBEsol geometry); energy above the most stable polymorph in this dataset = 0.199 eV/atom; DFT formation energy = 575 meV/atom; space group = No. 44
1.0
3.235 0.000 0.000
0.000 4.726 0.000
0.000 0.000 9.670
La Ta Mo
2 2 4
Direct
0.000 0.000 0.000 La
0.500 0.500 0.500 La
0.000 0.500 0.239 Ta
0.500 0.000 0.739 Ta
0.000 0.000 0.474 Mo
0.000 0.500 0.752 Mo
0.500 0.000 0.252 Mo
0.500 0.500 0.974 Mo



# 3
PtRh2Au (meta-GGA SCAN, PBEsol geometry); energy above the most stable polymorph in this dataset = 0.063 eV/atom; DFT formation energy = 111 meV/atom; space group = No. 65
1.0
5.544 0.000 0.000
0.000 7.680 0.000
0.000 0.000 2.751
Pt Rh Au
2 4 2
Direct
0.000 0.000 0.000 Pt
0.500 0.500 0.000 Pt
0.250 0.250 0.500 Rh
0.250 0.750 0.500 Rh
0.750 0.250 0.500 Rh
0.750 0.750 0.500 Rh
0.000 0.500 0.000 Au
0.500 0.000 0.000 Au



# 4
CrAgW2 (meta-GGA SCAN, PBEsol geometry); energy above the most stable polymorph in this dataset = 0.000 eV/atom; DFT formation energy = 521 meV/atom; space group = No. 99
1.0
3.160 0.000 0.000
0.000 3.160 0.000
0.000 0.000 6.036
Cr Ag W
1 1 2
Direct
0.000 0.000 0.000 Cr
0.500 0.500 0.740 Ag
0.000 0.000 0.457 W
0.500 0.500 0.215 W